1.
LaHg2Sb: PBEsol geometry, SCAN.

## Properties
As for the uncorrected formation energy: -0.485 eV per atom. The total energy is -54.660 eV/atom.

Cell lengths 3.550, 4.184, 6.919 Å; angles 90.00, 90.00, 90.00 degrees
Space group Pmmm (No. 47)
Unique sites:
La  0.000  0.000  0.000 [1 per cell]
Hg  0.500  0.500  0.267 [2 per cell]
Sb  0.000  0.000  0.500 [1 per cell]

***

2.
ReTc7: PBEsol geometry, SCAN.

## Properties
The total energy is -39.511 eV/atom.

Cell lengths 7.670, 7.670, 7.670 Å; angles 90.00, 90.00, 90.00 degrees
Space group Fm-3m (No. 225)
Unique sites:
Re  0.000  0.000  0.000 [4 per cell]
Tc  0.000  0.000  0.500 [4 per cell]
Tc  0.000  0.250  0.250 [24 per cell]

***

3.
La2CoSn2: PBEsol geometry, SCAN.

## Properties
The total energy is -35.141 eV/atom.

Cell lengths 3.953, 3.953, 17.348 Å; angles 90.00, 90.00, 90.00 degrees
Space group I4/mmm (No. 139)
Unique sites:
La  0.000  0.000  0.089 [4 per cell]
Co  0.000  0.000  0.500 [2 per cell]
Sn  0.000  0.500  0.250 [4 per cell]

***

4.
Y2MgTeCl: PBEsol geometry, SCAN.

## Properties
As for the uncorrected formation energy: -0.068 eV per atom. The total energy is -21.246 eV/atom.

Cell lengths 5.581, 5.581, 6.106 Å; angles 90.00, 90.00, 90.00 degrees
Space group P4/mmm (No. 123)
Unique sites:
Y  0.000  0.500  0.000 [2 per cell]
Mg  0.000  0.000  0.500 [1 per cell]
Te  0.500  0.500  0.000 [1 per cell]
Cl  0.500  0.500  0.500 [1 per cell]